The following is a GGA-PBE calculation of InFe2Ag after structural relaxation, from the Alexandria database.

Cell: 5.5429 8.0086 2.8604 Å, 90.00 90.16 90.00°
Space group C2/m (No. 12)
Unique sites:
In 0.0000 0.0000 0.0000 x2
Fe 0.2500 0.2500 0.5000 x4
Ag 0.0000 0.5000 0.0000 x2

Formation enthalpy at 0 K: 0.345 eV per atom


The following is a GGA-PBE calculation of YThRe4 after structural relaxation, from the Alexandria database.

Cell: 7.7660 7.7660 7.7660 Å, 90.00 90.00 90.00°
Space group F-43m (No. 216)
Unique sites:
Y 0.0000 0.0000 0.0000 x4
Th 0.2500 0.2500 0.2500 x4
Re 0.1252 0.1252 0.6252 x16

Formation enthalpy at 0 K: -0.075 eV per atom


no.,DOS(E_F) (states/eV/atom)
1,0.99
2,1.92